1.
A plane-wave DFT calculation with GGA-PBE was carried out for Li5Zn3Ni3 after structural relaxation.

Cell and atoms, written as POSCAR:
```
Li5Zn3Ni3
1.0
2.5385 0.0000 0.0000
0.0000 7.5509 -4.3595
0.0000 0.0000 8.7191
Ni Li Zn
3 5 3
Cartesian
0.0000 0.0000 7.3685
0.0000 1.1696 0.6753
0.0000 6.3813 -3.6843
1.2692 5.2820 3.0495
1.2692 0.0000 2.6200
1.2692 2.2690 -1.3100
1.2692 5.0340 0.0000
1.2692 2.5170 4.3595
1.2692 2.9487 1.7024
1.2692 0.0000 5.3142
1.2692 4.6023 -2.6571
```

**Space-group type**: P-62m (189)
**DFT formation energy**: 0.2 kcal/mol of atoms
**Total magnetic moment**: 0.00 μB/f.u.



2.
A plane-wave DFT calculation with GGA-PBE was carried out for CaNbIr2 after structural relaxation.

Cell and atoms, written as POSCAR:
```
CaNbIr2
1.0
-4.5223 5.7276 0.9309
-4.9340 -3.1743 -4.4387
-5.9594 -0.0751 0.5814
Nb Ca Ir
2 2 4
Cartesian
-7.6049 3.4646 -0.1208
0.0000 0.0000 0.0000
-7.8108 -0.9864 -2.8056
-4.7282 1.2766 -1.7539
-7.8157 1.0298 -0.6995
-12.9437 2.0492 -2.8131
-5.1163 3.3962 0.2100
-4.9557 -1.5188 -2.5502
```

**Space-group type**: I-42d (122)
**DFT formation energy**: 2.1 kcal/mol of atoms
**Total magnetic moment**: 0.00 μB/f.u.
**Energy relative to the lowest polymorph listed for this composition**: 482.3 meV/atom



3.
A plane-wave DFT calculation with GGA-PBE was carried out for Tb3PrAg2 after structural relaxation.

Cell and atoms, written as POSCAR:
```
Tb3PrAg2
1.0
-0.3639 -3.3021 -1.5315
1.5488 1.2524 -3.0684
11.1817 -3.2372 4.3226
Pr Tb Ag
1 3 2
Cartesian
6.1832 -2.6435 -0.1386
7.9139 -2.2911 3.0594
3.2677 -0.9460 1.2633
0.0000 0.0000 0.0000
2.2440 -1.5030 -1.6615
10.1225 -3.7839 1.3842
```

**Space-group type**: P4/mmm (123)
**DFT formation energy**: -4.5 kcal/mol of atoms
**Total magnetic moment**: 0.00 μB/f.u.
**Energy relative to the lowest polymorph listed for this composition**: 0.0 meV/atom



4.
A plane-wave DFT calculation with GGA-PBE was carried out for Y2Sc2Sb after structural relaxation.

Cell and atoms, written as POSCAR:
```
Y2Sc2Sb
1.0
-1.9827 1.9827 9.2673
1.9827 -1.9827 9.2673
1.9827 1.9827 -9.2673
Sb Y Sc
1 2 2
Cartesian
0.0000 0.0000 0.0000
0.0000 0.0000 10.9780
0.0000 0.0000 7.5567
0.0000 1.9827 4.6337
1.9827 0.0000 4.6337
```

**Space-group type**: I4/mmm (139)
**E_form (uncorrected)**: -8 kJ/mol of formula units
**Total magnetic moment**: 0.34 μB/f.u.
**Energy relative to the lowest polymorph listed for this composition**: 276.1 meV/atom



5.
A plane-wave DFT calculation with GGA-PBE was carried out for Ca3Ce3ScS8 after structural relaxation.

Cell and atoms, written as POSCAR:
```
Ca3Ce3ScS8
1.0
7.9964 0.0000 0.0000
-3.9982 6.9252 -0.0240
0.0000 -4.5938 6.6379
S Ce Sc Ca
8 3 1 3
Cartesian
-2.1296 5.7017 1.7396
0.0000 -0.1335 4.8633
0.0000 2.3140 1.6036
3.9982 2.4649 1.7506
2.1296 5.7017 1.7396
6.1278 -3.3703 4.8743
3.9982 0.0175 5.0103
1.8686 -3.3703 4.8743
3.9982 -2.2969 3.3190
1.9991 1.1657 3.3070
-1.9991 1.1657 3.3070
0.0000 -2.2969 3.3190
1.9991 3.4626 -0.0120
-1.9991 3.4626 -0.0120
0.0000 0.0000 0.0000
```

**Space-group type**: R-3m (166)
**E_form (uncorrected)**: -2907 kJ/mol of formula units
**Total magnetic moment**: 3.85 μB/f.u.



6.
A plane-wave DFT calculation with GGA-PBE was carried out for CeZrOs4 after structural relaxation.

Cell and atoms, written as POSCAR:
```
CeZrOs4
1.0
5.3332 0.0000 0.0000
2.6666 4.6187 0.0000
2.6666 1.5396 4.3546
Zr Ce Os
1 1 4
Cartesian
2.6666 1.5396 1.0886
0.0000 0.0000 0.0000
4.0023 3.8476 2.7207
6.6642 3.8476 2.7207
5.3332 3.0791 0.5472
5.3332 1.5422 2.7207
```

**Space-group type**: F-43m (216)
**DFT formation energy**: -5.0 kcal/mol of atoms
**Total magnetic moment**: 0.00 μB/f.u.